[1]
A plane-wave DFT calculation with GGA-PBE was carried out for Na2UMnN4 after structural relaxation.

a = 3.3530 Å, b = 5.9370 Å, c = 5.3390 Å
α = 72.65°, β = 90.00°, γ = 90.00°
Last column: nearest neighbours and their distance in Å.
Fractional positions:
N (0.5000, 0.3120, 0.7399)  1 Mn 2.02, 2 U 2.20
N (0.5000, 0.6880, 0.2601)  1 Mn 2.02, 2 U 2.20
N (0.0000, 0.6854, 0.7807)  1 U 2.11, 2 Mn 2.15
N (0.0000, 0.3146, 0.2193)  1 U 2.11, 2 Mn 2.15
Mn (0.5000, 0.5000, 0.0000)  6 N 2.02-2.15
Na (0.0000, 0.0000, 0.0000)  6 N 2.48-2.58
Na (0.5000, 0.0000, 0.5000)  6 N 2.55-2.62
U (0.0000, 0.5000, 0.5000)  6 N 2.11-2.20

## Properties
Symmetry   No. 10
Formation energy from raw total energies   -0.6313 eV per atom
Calculated total energy   -0.2823 Ha/atom

***

[2]
A plane-wave DFT calculation with GGA-PBE was carried out for Ba2FePd after structural relaxation.

a = 8.5739 Å, b = 8.5739 Å, c = 7.0210 Å
α = 52.37°, β = 52.37°, γ = 90.00°
Last column: nearest neighbours and their distance in Å.
Fractional positions:
Pd (0.7500, 0.2500, 0.5000)  4 Ba 3.06
Pd (0.0000, 0.0000, 0.0000)  4 Ba 3.06
Ba (0.8750, 0.8916, 0.7500)  2 Pd 3.06, 2 Fe 3.26
Ba (0.3750, 0.3584, 0.7500)  2 Pd 3.06, 2 Fe 3.26
Ba (0.1084, 0.6250, 0.2500)  2 Pd 3.06, 2 Fe 3.26
Ba (0.6416, 0.1250, 0.2500)  2 Pd 3.06, 2 Fe 3.26
Fe (0.2500, 0.7500, 0.5000)  4 Ba 3.26, 2 Pd 3.54
Fe (0.5000, 0.5000, 0.0000)  4 Ba 3.26, 2 Pd 3.54

## Properties
Symmetry   No. 122
Calculated total energy   -0.1433 Ha/atom
ΔE to the lowest computed polymorph   0.1993 eV per atom
Energy relative to the elements   0.48 eV per atom

***

[3]
A plane-wave DFT calculation with GGA-PBE was carried out for NiAs2 after structural relaxation.

a = 4.1553 Å, b = 6.3552 Å, c = 7.6049 Å
α = 90.00°, β = 90.00°, γ = 90.00°
Last column: nearest neighbours and their distance in Å.
Fractional positions:
As (0.7500, 0.0631, 0.1210)  3 Ni 2.40-2.43
As (0.2500, 0.1193, 0.3813)  4 Ni 2.41-2.61
As (0.7500, 0.5631, 0.3790)  3 Ni 2.40-2.43
As (0.2500, 0.9369, 0.8790)  3 Ni 2.40-2.43
As (0.2500, 0.6193, 0.1187)  4 Ni 2.41-2.61
As (0.2500, 0.4369, 0.6210)  3 Ni 2.40-2.43
As (0.7500, 0.8807, 0.6187)  4 Ni 2.41-2.61
As (0.7500, 0.3807, 0.8813)  4 Ni 2.41-2.61
Ni (0.7500, 0.2523, 0.5576)  7 As 2.40-2.61
Ni (0.2500, 0.2477, 0.0576)  7 As 2.40-2.61
Ni (0.7500, 0.7523, 0.9424)  7 As 2.40-2.61
Ni (0.2500, 0.7477, 0.4424)  7 As 2.40-2.61

## Properties
Symmetry   No. 62
Calculated total energy   -0.1870 Ha/atom
Energy relative to the elements   -0.06 eV per atom

***

[4]
A plane-wave DFT calculation with GGA-PBE was carried out for Y4ZnMo after structural relaxation.

a = 6.0563 Å, b = 6.0563 Å, c = 6.0563 Å
α = 60.00°, β = 60.00°, γ = 60.00°
Last column: nearest neighbours and their distance in Å.
Fractional positions:
Y (0.3739, 0.3739, 0.8782)  6 Y 3.00-3.05
Y (0.8782, 0.3739, 0.3739)  6 Y 3.00-3.05
Y (0.3739, 0.8782, 0.3739)  6 Y 3.00-3.05
Y (0.3739, 0.3739, 0.3739)  6 Y 3.00-3.05
Zn (0.7500, 0.7500, 0.7500)  12 Y 3.55, 4 Mo 3.71
Mo (0.0000, 0.0000, 0.0000)  12 Y 3.55, 4 Zn 3.71

## Properties
Symmetry   No. 216
Calculated total energy   -0.2009 Ha/atom
Energy relative to the elements   0.86 eV per atom

***

[5]
A plane-wave DFT calculation with GGA-PBE was carried out for NaAc2NdSe4 after structural relaxation.

a = 4.3807 Å, b = 7.4534 Å, c = 7.6571 Å
α = 70.37°, β = 90.00°, γ = 90.00°
Last column: nearest neighbours and their distance in Å.
Fractional positions:
Ac (0.5000, 0.0000, 0.5000)  6 Se 3.13-3.15
Ac (0.0000, 0.0000, 0.0000)  6 Se 3.14
Se (0.5000, 0.7356, 0.2535)  1 Na 3.02, 2 Nd 3.04, 3 Ac 3.14-3.15
Se (0.0000, 0.2616, 0.2476)  1 Nd 3.03, 2 Na 3.05, 3 Ac 3.13-3.14
Se (0.5000, 0.2644, 0.7465)  1 Na 3.02, 2 Nd 3.04, 3 Ac 3.14-3.15
Se (0.0000, 0.7384, 0.7524)  1 Nd 3.03, 2 Na 3.05, 3 Ac 3.13-3.14
Nd (0.0000, 0.5000, 0.5000)  6 Se 3.03-3.04
Na (0.5000, 0.5000, 0.0000)  6 Se 3.02-3.05

## Properties
Symmetry   No. 10
Formation energy from raw total energies   -1.7783 eV per atom
Calculated total energy   -0.1951 Ha/atom

***

[6]
A plane-wave DFT calculation with GGA-PBE was carried out for Sr2Li4Sn5 after structural relaxation.

a = 6.2233 Å, b = 7.3044 Å, c = 7.2965 Å
α = 79.58°, β = 64.76°, γ = 64.79°
Last column: nearest neighbours and their distance in Å.
Fractional positions:
Li (0.2404, 0.4234, 0.0959)  3 Sn 2.71-2.89
Li (0.7593, 0.9035, 0.5779)  3 Sn 2.72-2.89
Li (0.7596, 0.5766, 0.9041)  3 Sn 2.71-2.89
Li (0.2407, 0.0965, 0.4221)  3 Sn 2.72-2.89
Sr (0.7071, 0.2924, 0.2934)  6 Li 3.18-3.48
Sr (0.2929, 0.7076, 0.7066)  6 Li 3.18-3.48
Sn (0.0000, 0.5000, 0.5000)  4 Li 2.71-2.72
Sn (0.7523, 0.1841, 0.8161)  4 Li 2.89-3.08, 2 Sn 3.08-3.14
Sn (0.2477, 0.8159, 0.1839)  4 Li 2.89-3.08, 2 Sn 3.08-3.14
Sn (0.2474, 0.1841, 0.8161)  4 Li 2.89-3.08, 2 Sn 3.08-3.14
Sn (0.7526, 0.8159, 0.1839)  4 Li 2.89-3.08, 2 Sn 3.08-3.14

## Properties
Symmetry   No. 12
Calculated total energy   -0.1193 Ha/atom
Energy relative to the elements   -0.43 eV per atom

***

[7]
A plane-wave DFT calculation with GGA-PBE was carried out for K4Rh3 after structural relaxation.

a = 5.6880 Å, b = 5.6880 Å, c = 6.2855 Å
α = 90.00°, β = 90.00°, γ = 120.00°
Last column: nearest neighbours and their distance in Å.
Fractional positions:
Rh (0.5000, 0.0000, 0.0000)  4 Rh 2.84
Rh (0.0000, 0.5000, 0.0000)  4 Rh 2.84
Rh (0.5000, 0.5000, 0.0000)  4 Rh 2.84
K (0.0000, 0.0000, 0.7612)  2 K 3.00-3.28, 6 Rh 3.22
K (0.0000, 0.0000, 0.2388)  2 K 3.00-3.28, 6 Rh 3.22
K (0.3333, 0.6667, 0.5000)  9 K 3.28-3.67, 6 Rh 3.55
K (0.6667, 0.3333, 0.5000)  9 K 3.28-3.67, 6 Rh 3.55

## Properties
Symmetry   No. 191
Calculated total energy   -0.1170 Ha/atom
Energy relative to the elements   0.60 eV per atom

***

[8]
A plane-wave DFT calculation with GGA-PBE was carried out for PmHCl after structural relaxation.

a = 3.3872 Å, b = 3.3872 Å, c = 5.3419 Å
α = 108.48°, β = 108.48°, γ = 90.00°
Last column: nearest neighbours and their distance in Å.
Fractional positions:
Cl (0.0104, 0.0104, 0.0208)  1 H 2.60, 1 Pm 2.90
H (0.2828, 0.2828, 0.5656)  4 Pm 2.50, 1 Cl 2.60
Pm (0.7068, 0.7068, 0.4136)  4 H 2.50

## Properties
Symmetry   No. 107
Calculated total energy   -0.1611 Ha/atom
ΔE to the lowest computed polymorph   0.3553 eV per atom

***

[9]
A plane-wave DFT calculation with GGA-PBE was carried out for AlCd3F after structural relaxation.

a = 5.1952 Å, b = 5.1952 Å, c = 5.1952 Å
α = 90.00°, β = 90.00°, γ = 90.00°
Last column: nearest neighbours and their distance in Å.
Fractional positions:
F (0.5000, 0.5000, 0.5000)  12 Cd 3.67
Cd (0.0000, 0.5000, 0.0000)  2 Al 2.60
Cd (0.5000, 0.0000, 0.0000)  2 Al 2.60
Cd (0.0000, 0.0000, 0.5000)  2 Al 2.60
Al (0.0000, 0.0000, 0.0000)  6 Cd 2.60

## Properties
Symmetry   No. 221
Formation energy from raw total energies   -0.1560 eV per atom
Calculated total energy   -0.0672 Ha/atom
ΔE to the lowest computed polymorph   0.0310 eV per atom

***

[10]
A plane-wave DFT calculation with GGA-PBE was carried out for ScMo2Pt after structural relaxation.

a = 9.6675 Å, b = 9.6675 Å, c = 9.6675 Å
α = 17.08°, β = 17.08°, γ = 17.08°
Last column: nearest neighbours and their distance in Å.
Fractional positions:
Mo (0.5041, 0.5041, 0.5041)  3 Pt 2.81, 6 Mo 2.87, 3 Sc 3.00
Mo (0.9959, 0.9959, 0.9959)  3 Pt 2.81, 6 Mo 2.87, 3 Sc 3.00
Pt (0.2500, 0.2500, 0.2500)  6 Mo 2.81, 6 Pt 2.87
Sc (0.7500, 0.7500, 0.7500)  6 Sc 2.87, 6 Mo 3.00

## Properties
Symmetry   No. 166
Calculated total energy   -0.3064 Ha/atom
ΔE to the lowest computed polymorph   0.4799 eV per atom
Energy relative to the elements   0.17 eV per atom